Record 1
A plane-wave DFT calculation with PBE-GGA was carried out for a relaxed structure of NbRe3H.

Properties
E: -7.01 eV/atom
Excess energy over the best structure of this formula in the dataset: 3020 meV per atom
Spin magnetization: 0.739 μB/atom

CIF file:
```
data_NbRe3H
_chemical_formula_sum 'Nb1 Re3 H1'
_cell_length_a 4.7912
_cell_length_b 4.7912
_cell_length_c 4.7912
_cell_angle_alpha 90.00
_cell_angle_beta 90.00
_cell_angle_gamma 90.00
_symmetry_space_group_name_H-M 'P m -3 m'
_symmetry_Int_Tables_number 221
_symmetry_space_group_name_Hall '-P 4 2 3'
loop_
_atom_site_label
_atom_site_type_symbol
_atom_site_fract_x
_atom_site_fract_y
_atom_site_fract_z
_atom_site_occupancy
Nb1 Nb 0.0000 0.0000 0.0000 1
Re1 Re 0.0000 0.0000 0.5000 1
H1 H 0.5000 0.5000 0.5000 1
```

Record 2
A plane-wave DFT calculation with PBE-GGA was carried out for a relaxed structure of NbReH3.

Properties
E: -6.17 eV/atom
Excess energy over the best structure of this formula in the dataset: 0 meV per atom
Spin magnetization: 0.000 μB/atom

CIF file:
```
data_NbReH3
_chemical_formula_sum 'Nb1 Re1 H3'
_cell_length_a 3.5012
_cell_length_b 3.5012
_cell_length_c 3.5012
_cell_angle_alpha 90.00
_cell_angle_beta 90.00
_cell_angle_gamma 90.00
_symmetry_space_group_name_H-M 'P m -3 m'
_symmetry_Int_Tables_number 221
_symmetry_space_group_name_Hall '-P 4 2 3'
loop_
_atom_site_label
_atom_site_type_symbol
_atom_site_fract_x
_atom_site_fract_y
_atom_site_fract_z
_atom_site_occupancy
Nb1 Nb 0.0000 0.0000 0.0000 1
Re1 Re 0.5000 0.5000 0.5000 1
H1 H 0.0000 0.5000 0.5000 1
```

Record 3
A plane-wave DFT calculation with PBE-GGA was carried out for a relaxed structure of Nb2ReH2.

Properties
E: -7.64 eV/atom
Excess energy over the best structure of this formula in the dataset: 426 meV per atom
Spin magnetization: 0.000 μB/atom

CIF file:
```
data_Nb2ReH2
_chemical_formula_sum 'Nb4 Re2 H4'
_cell_length_a 6.1230
_cell_length_b 6.1230
_cell_length_c 3.0691
_cell_angle_alpha 90.00
_cell_angle_beta 90.00
_cell_angle_gamma 90.00
_symmetry_space_group_name_H-M 'P 4/m b m'
_symmetry_Int_Tables_number 127
_symmetry_space_group_name_Hall '-P 4 2ab'
loop_
_atom_site_label
_atom_site_type_symbol
_atom_site_fract_x
_atom_site_fract_y
_atom_site_fract_z
_atom_site_occupancy
Nb1 Nb 0.1665 0.3335 0.0000 1
Re1 Re 0.0000 0.0000 0.5000 1
H1 H 0.1539 0.6539 0.5000 1
```

Record 4
A plane-wave DFT calculation with PBE-GGA was carried out for a relaxed structure of NbRe3H.

Properties
E: -10.03 eV/atom
Excess energy over the best structure of this formula in the dataset: 0 meV per atom
Spin magnetization: 0.000 μB/atom

CIF file:
```
data_NbRe3H
_chemical_formula_sum 'Nb1 Re3 H1'
_cell_length_a 4.0243
_cell_length_b 4.0243
_cell_length_c 4.0243
_cell_angle_alpha 90.00
_cell_angle_beta 90.00
_cell_angle_gamma 90.00
_symmetry_space_group_name_H-M 'P m -3 m'
_symmetry_Int_Tables_number 221
_symmetry_space_group_name_Hall '-P 4 2 3'
loop_
_atom_site_label
_atom_site_type_symbol
_atom_site_fract_x
_atom_site_fract_y
_atom_site_fract_z
_atom_site_occupancy
Nb1 Nb 0.0000 0.0000 0.0000 1
Re1 Re 0.0000 0.5000 0.5000 1
H1 H 0.5000 0.5000 0.5000 1
```

Record 5
A plane-wave DFT calculation with PBE-GGA was carried out for a relaxed structure of Nb2ReH2.

Properties
E: -7.93 eV/atom
Excess energy over the best structure of this formula in the dataset: 138 meV per atom
Spin magnetization: 0.000 μB/atom

CIF file:
```
data_Nb2ReH2
_chemical_formula_sum 'Nb2 Re1 H2'
_cell_length_a 3.0862
_cell_length_b 3.0862
_cell_length_c 6.2764
_cell_angle_alpha 90.00
_cell_angle_beta 90.00
_cell_angle_gamma 90.00
_symmetry_space_group_name_H-M 'P 4/m m m'
_symmetry_Int_Tables_number 123
_symmetry_space_group_name_Hall '-P 4 2'
loop_
_atom_site_label
_atom_site_type_symbol
_atom_site_fract_x
_atom_site_fract_y
_atom_site_fract_z
_atom_site_occupancy
Nb1 Nb 0.0000 0.0000 0.2341 1
Re1 Re 0.5000 0.5000 0.5000 1
H1 H 0.0000 0.5000 0.0000 1
```

Record 6
A plane-wave DFT calculation with PBE-GGA was carried out for a relaxed structure of NbReH3.

Properties
E: -5.84 eV/atom
Excess energy over the best structure of this formula in the dataset: 333 meV per atom
Spin magnetization: 0.000 μB/atom

CIF file:
```
data_NbReH3
_chemical_formula_sum 'Nb1 Re1 H3'
_cell_length_a 3.5137
_cell_length_b 3.5137
_cell_length_c 3.5137
_cell_angle_alpha 90.00
_cell_angle_beta 90.00
_cell_angle_gamma 90.00
_symmetry_space_group_name_H-M 'P m -3 m'
_symmetry_Int_Tables_number 221
_symmetry_space_group_name_Hall '-P 4 2 3'
loop_
_atom_site_label
_atom_site_type_symbol
_atom_site_fract_x
_atom_site_fract_y
_atom_site_fract_z
_atom_site_occupancy
Nb1 Nb 0.0000 0.0000 0.0000 1
Re1 Re 0.5000 0.5000 0.5000 1
H1 H 0.0000 0.0000 0.5000 1
```

Record 7
A plane-wave DFT calculation with PBE-GGA was carried out for a relaxed structure of Nb2ReHRh.

Properties
E: -8.79 eV/atom
Excess energy over the best structure of this formula in the dataset: 41 meV per atom
Spin magnetization: 0.000 μB/atom

CIF file:
```
data_Nb2ReHRh
_chemical_formula_sum 'Nb2 Re1 H1 Rh1'
_cell_length_a 4.2195
_cell_length_b 4.2195
_cell_length_c 3.8055
_cell_angle_alpha 90.00
_cell_angle_beta 90.00
_cell_angle_gamma 90.00
_symmetry_space_group_name_H-M 'P 4/m m m'
_symmetry_Int_Tables_number 123
_symmetry_space_group_name_Hall '-P 4 2'
loop_
_atom_site_label
_atom_site_type_symbol
_atom_site_fract_x
_atom_site_fract_y
_atom_site_fract_z
_atom_site_occupancy
Nb1 Nb 0.0000 0.5000 0.0000 1
Re1 Re 0.0000 0.0000 0.5000 1
H1 H 0.0000 0.0000 0.0000 1
Rh1 Rh 0.5000 0.5000 0.5000 1
```

Record 8
A plane-wave DFT calculation with PBE-GGA was carried out for a relaxed structure of NbRe2HRh.

Properties
E: -9.19 eV/atom
Excess energy over the best structure of this formula in the dataset: 4 meV per atom
Spin magnetization: 0.000 μB/atom

CIF file:
```
data_NbRe2HRh
_chemical_formula_sum 'Nb1 Re2 H1 Rh1'
_cell_length_a 3.9482
_cell_length_b 3.9482
_cell_length_c 4.1040
_cell_angle_alpha 90.00
_cell_angle_beta 90.00
_cell_angle_gamma 90.00
_symmetry_space_group_name_H-M 'P 4/m m m'
_symmetry_Int_Tables_number 123
_symmetry_space_group_name_Hall '-P 4 2'
loop_
_atom_site_label
_atom_site_type_symbol
_atom_site_fract_x
_atom_site_fract_y
_atom_site_fract_z
_atom_site_occupancy
Nb1 Nb 0.0000 0.0000 0.0000 1
Re1 Re 0.0000 0.5000 0.5000 1
H1 H 0.0000 0.0000 0.5000 1
Rh1 Rh 0.5000 0.5000 0.0000 1
```

Record 9
A plane-wave DFT calculation with PBE-GGA was carried out for a relaxed structure of NbRe2HRh.

Properties
E: -9.19 eV/atom
Excess energy over the best structure of this formula in the dataset: 0 meV per atom
Spin magnetization: 0.000 μB/atom

CIF file:
```
data_NbRe2HRh
_chemical_formula_sum 'Nb1 Re2 H1 Rh1'
_cell_length_a 3.9750
_cell_length_b 3.9750
_cell_length_c 4.0475
_cell_angle_alpha 90.00
_cell_angle_beta 90.00
_cell_angle_gamma 90.00
_symmetry_space_group_name_H-M 'P 4/m m m'
_symmetry_Int_Tables_number 123
_symmetry_space_group_name_Hall '-P 4 2'
loop_
_atom_site_label
_atom_site_type_symbol
_atom_site_fract_x
_atom_site_fract_y
_atom_site_fract_z
_atom_site_occupancy
Nb1 Nb 0.0000 0.0000 0.0000 1
Re1 Re 0.0000 0.5000 0.5000 1
H1 H 0.5000 0.5000 0.5000 1
Rh1 Rh 0.5000 0.5000 0.0000 1
```

Record 10
A plane-wave DFT calculation with PBE-GGA was carried out for a relaxed structure of Nb2ReHRh.

Properties
E: -8.83 eV/atom
Excess energy over the best structure of this formula in the dataset: 0 meV per atom
Spin magnetization: 0.000 μB/atom

CIF file:
```
data_Nb2ReHRh
_chemical_formula_sum 'Nb2 Re1 H1 Rh1'
_cell_length_a 4.3292
_cell_length_b 4.3292
_cell_length_c 3.6208
_cell_angle_alpha 90.00
_cell_angle_beta 90.00
_cell_angle_gamma 90.00
_symmetry_space_group_name_H-M 'P 4/m m m'
_symmetry_Int_Tables_number 123
_symmetry_space_group_name_Hall '-P 4 2'
loop_
_atom_site_label
_atom_site_type_symbol
_atom_site_fract_x
_atom_site_fract_y
_atom_site_fract_z
_atom_site_occupancy
Nb1 Nb 0.0000 0.5000 0.0000 1
Re1 Re 0.0000 0.0000 0.5000 1
H1 H 0.5000 0.5000 0.0000 1
Rh1 Rh 0.5000 0.5000 0.5000 1
```